No. 1
The following is a DFT calculation (PBE) of a geometry-optimized CuNi2Pt6 structure.

Summary:
Formation energy from the elements, eV/atom: 0.279
M_tot, μB per cell: 7.4

Cell: 5.3290 5.3290 19.1192 Å, 90.00 90.00 120.00°
Space group R3m (No. 160, hexagonal axes)
Unique sites:
Cu 0.0000 0.0000 0.0000 [3 per cell]
Ni 0.0000 0.0000 0.2222 [3 per cell]
Ni 0.0000 0.0000 0.4446 [3 per cell]
Pt 0.0016 0.5008 0.4380 [9 per cell]
Pt 0.0051 0.5025 0.2294 [9 per cell]

No. 2
The following is a DFT calculation (PBE) of a geometry-optimized Cu7Ni4Pt structure.

Summary:
Formation energy from the elements, eV/atom: 0.352
M_tot, μB per cell: 0.1

Cell: 9.006 4.525 8.710 Å, 90.00 118.32 90.00°
Space group C2/m (No. 12)
Unique sites:
Cu 0.000 0.000 0.000 [2 per cell]
Cu 0.112 0.500 0.455 [4 per cell]
Cu 0.154 0.000 0.617 [4 per cell]
Cu 0.199 0.000 0.908 [4 per cell]
Ni 0.097 0.000 0.310 [4 per cell]
Ni 0.178 0.500 0.776 [4 per cell]
Pt 0.000 0.500 0.000 [2 per cell]

No. 3
The following is a DFT calculation (PBE) of a geometry-optimized Cu4NiPt4 structure.

Summary:
Formation energy from the elements, eV/atom: -0.094
M_tot, μB per cell: 0.0

Cell: 8.148 8.148 3.710 Å, 90.00 90.00 90.00°
Space group I4/mmm (No. 139)
Unique sites:
Cu 0.000 0.338 0.000 [8 per cell]
Ni 0.000 0.000 0.000 [2 per cell]
Pt 0.166 0.166 0.500 [8 per cell]

No. 4
The following is a DFT calculation (PBE) of a geometry-optimized CuNiPt2 structure.

Summary:
Formation energy from the elements, eV/atom: -0.070
M_tot, μB per cell: 1.4

Cell: 2.718 3.784 5.361 Å, 90.00 90.00 90.00°
Space group Pmm2 (No. 25)
Unique sites:
Cu 0.000 0.000 0.000 [1 per cell]
Ni 0.500 0.500 0.249 [1 per cell]
Pt 0.000 0.000 0.478 [1 per cell]
Pt 0.500 0.500 0.763 [1 per cell]

No. 5
The following is a DFT calculation (PBE) of a geometry-optimized CuNi2Pt7 structure.

Summary:
Formation energy from the elements, eV/atom: 0.438
M_tot, μB per cell: 3.1

Cell: 7.145 12.302 4.133 Å, 90.00 90.00 90.00°
Space group Cmmm (No. 65)
Unique sites:
Cu 0.000 0.000 0.000 [2 per cell]
Ni 0.000 0.301 0.500 [4 per cell]
Pt 0.000 0.201 0.000 [4 per cell]
Pt 0.000 0.500 0.500 [2 per cell]
Pt 0.189 0.112 0.500 [8 per cell]

No. 6
The following is a DFT calculation (PBE) of a geometry-optimized Cu12NiPt2 structure.

Summary:
Formation energy from the elements, eV/atom: 0.083
M_tot, μB per cell: 0.0

Cell: 2.599 4.138 18.314 Å, 90.00 90.00 90.00°
Space group Pmmm (No. 47)
Unique sites:
Cu 0.000 0.000 0.064 [2 per cell]
Cu 0.000 0.000 0.431 [2 per cell]
Cu 0.500 0.000 0.180 [2 per cell]
Cu 0.500 0.000 0.311 [2 per cell]
Cu 0.500 0.500 0.107 [2 per cell]
Cu 0.500 0.500 0.383 [2 per cell]
Ni 0.000 0.500 0.500 [1 per cell]
Pt 0.000 0.500 0.247 [2 per cell]